TaSeSN2: optimized geometry, PBE.

Unit cell a=3.807 b=3.807 c=4.591 alpha=90.00 beta=90.00 gamma=90.00
Site moments in Bohr magnetons follow the coordinates.
Element x y z (fractional)
Se  0.000  0.000  0.000  0.01
N  0.000  0.500  0.000  -0.06
N  0.500  0.000  0.000  -0.06
S  0.000  0.000  0.500  -0.02
Ta  0.500  0.500  0.500  0.56

Properties
**E above lowest polymorph**: 1074.2 meV per atom
**Formation energy (no corrections)**: 1.516 eV/atom
**Symmetry**: P4/mmm (123)